Entry from Alexandria: KNbCr2Pd at its PBEsol-relaxed geometry (SCAN).

VASP energy: -19.60 eV per atom
crystal system: tetragonal
theoretical density: 7450 kg/m³
E_form: 2.603 eV per atom

Lattice parameters (Å, degrees): 4.104 4.104 4.531 90.00 90.00 90.00
Space group P4/mmm (No. 123)
Unique sites:
1 K 0.000 0.000 0.000 (multiplicity 1)
2 Nb 0.000 0.000 0.500 (multiplicity 1)
3 Cr 0.000 0.500 0.000 (multiplicity 2)
4 Pd 0.500 0.500 0.500 (multiplicity 1)